First-principles (PBE-GGA) data for a relaxed InMoBr2 crystal, as listed in Alexandria.

```
InMoBr2
1.0
-10.979 -2.197 0.325
-10.364 -2.258 3.601
-10.989 0.639 2.076
Br In Mo
2 1 1
direct
0.112 0.112 0.112
0.888 0.888 0.888
0.000 0.000 0.000
0.500 0.500 0.500
```

Values from the calculation:
Polymorph energy (0 for the lowest one) = 144 meV per atom
M_tot = 0.00 μB per cell
Crystal system = trigonal
Formation energy (no corrections) = 0.059 eV per atom